[1]
Below is PmErCI after structural relaxation, with properties calculated at the PBE level.

Computed properties:
* total energy: -5.75 eV per atom

Unit cell a=3.790 b=3.791 c=7.836 alpha=89.99 beta=104.02 gamma=119.99
Sites, in units of the cell vectors:
Er: 0.082 0.939 0.037
I: 0.961 0.379 0.354
Pm: 0.521 0.158 0.694
C: 0.314 0.555 0.884


[2]
Below is PrErCI after structural relaxation, with properties calculated at the PBE level.

Computed properties:
* total energy: -5.74 eV per atom

Unit cell a=3.810 b=3.813 c=7.938 alpha=89.99 beta=103.91 gamma=119.98
Sites, in units of the cell vectors:
Er: 0.083 0.939 0.038
Pr: 0.520 0.158 0.694
C: 0.317 0.557 0.889
I: 0.957 0.377 0.349


[3]
Below is ErTmCI after structural relaxation, with properties calculated at the PBE level.

Computed properties:
* total energy: -5.69 eV per atom

Unit cell a=3.720 b=3.720 c=7.632 alpha=89.99 beta=104.11 gamma=120.00
Sites, in units of the cell vectors:
C: 0.307 0.552 0.874
I: 0.967 0.382 0.364
Tm: 0.081 0.938 0.035
Er: 0.522 0.159 0.697


[4]
Below is Er4In2C after structural relaxation, with properties calculated at the PBE level.

Computed properties:
* energy above the lowest structure with this stoichiometry: 87 meV per atom

Unit cell a=3.564 b=8.805 c=8.454 alpha=137.77 beta=90.00 gamma=90.00
Each line ends with the local moment (μB).
Sites, in units of the cell vectors:
Er: 0.500 0.210 0.350  0.14
Er: 0.000 0.704 0.922  0.21
Er: 0.000 0.439 0.221  0.21
Er: 0.500 0.933 0.793  0.14
In: 0.500 0.827 0.331  0.00
In: 0.500 0.316 0.812  0.00
C: 0.000 0.071 0.071  -0.01


[5]
Below is Er2InC after structural relaxation, with properties calculated at the PBE level.

Computed properties:
* total energy: -5.70 eV per atom

Unit cell a=3.569 b=3.569 c=8.336 alpha=77.64 beta=77.64 gamma=60.00
Sites, in units of the cell vectors:
In: 0.500 0.500 0.500
Er: 0.722 0.722 0.835
Er: 0.278 0.278 0.165
C: 0.000 0.000 0.000


[6]
Below is Er4InC after structural relaxation, with properties calculated at the PBE level.

Computed properties:
* total energy: -5.29 eV per atom

Unit cell a=6.033 b=6.757 c=9.122 alpha=59.40 beta=109.30 gamma=89.96
Sites, in units of the cell vectors:
In: 0.905 0.249 0.000
In: 0.095 0.751 0.000
Er: 0.511 0.244 0.202
Er: 0.263 0.776 0.385
Er: 0.737 0.224 0.615
Er: 0.691 0.744 0.202
Er: 0.122 0.276 0.384
Er: 0.878 0.724 0.616
Er: 0.489 0.756 0.798
Er: 0.309 0.256 0.798
C: 0.500 0.000 0.500
C: 0.000 0.500 0.500


Number 1: spin magnetization 0.0 μB/cell. Number 2: spin magnetization 0.0 μB/cell. Number 3: spin magnetization 0.0 μB/cell. Number 4: spin magnetization 0.9 μB/cell. Number 5: spin magnetization 0.0 μB/cell. Number 6: spin magnetization 0.0 μB/cell.